(1)
NbFe2PtC | PBE-GGA | relaxed

Values from the calculation:
E_form   -0.592 eV per formula unit
N(E_F)   0.856 states/eV per atom
Magnetic moment   3.20 μB/f.u.
V   12.67 Å³/atom
Total DFT energy (no corrections)   -8.57 eV/atom

a = 3.8503 Å, b = 3.8503 Å, c = 4.2739 Å
α = 90.00°, β = 90.00°, γ = 90.00°
Last column: nearest neighbours and their distance in Å.
Element x y z (fractional)
1 Nb 0.0000 0.0000 0.0000  2 C 2.14
2 Fe 0.0000 0.5000 0.5000  2 C 1.93
3 Fe 0.5000 0.0000 0.5000  2 C 1.93
4 Pt 0.5000 0.5000 0.0000  4 Nb 2.72, 8 Fe 2.88
5 C 0.0000 0.0000 0.5000  4 Fe 1.93, 2 Nb 2.14

(2)
Nb2FePtC | PBE-GGA | relaxed

Values from the calculation:
E_form   -1.608 eV per formula unit
N(E_F)   0.712 states/eV per atom
Magnetic moment   1.73 μB/f.u.
V   14.14 Å³/atom
Total DFT energy (no corrections)   -9.09 eV/atom

a = 4.3164 Å, b = 4.3164 Å, c = 3.7956 Å
α = 90.00°, β = 90.00°, γ = 90.00°
Last column: nearest neighbours and their distance in Å.
Element x y z (fractional)
1 Nb 0.0000 0.5000 0.0000  2 C 2.16
2 Nb 0.5000 0.0000 0.0000  2 C 2.16
3 Fe 0.0000 0.0000 0.5000  2 C 1.90
4 Pt 0.5000 0.5000 0.5000  8 Nb 2.87, 4 Fe 3.05
5 C 0.0000 0.0000 0.0000  2 Fe 1.90

(3)
NbFe2RhC | PBE-GGA | relaxed

Values from the calculation:
E_form   -0.280 eV per formula unit
N(E_F)   0.953 states/eV per atom
Magnetic moment   3.14 μB/f.u.
V   12.42 Å³/atom
Total DFT energy (no corrections)   -8.77 eV/atom

a = 3.7983 Å, b = 3.7983 Å, c = 4.3054 Å
α = 90.00°, β = 90.00°, γ = 90.00°
Last column: nearest neighbours and their distance in Å.
Element x y z (fractional)
1 Nb 0.0000 0.0000 0.0000  2 C 2.15
2 Fe 0.0000 0.5000 0.5000  2 C 1.90
3 Fe 0.5000 0.0000 0.5000  2 C 1.90
4 Rh 0.5000 0.5000 0.0000  4 Nb 2.69, 8 Fe 2.87
5 C 0.0000 0.0000 0.5000  4 Fe 1.90

(4)
NbFeRu2C | PBE-GGA | relaxed

Values from the calculation:
E_form   -0.129 eV per formula unit
N(E_F)   0.516 states/eV per atom
Magnetic moment   0.92 μB/f.u.
V   12.70 Å³/atom
Total DFT energy (no corrections)   -9.29 eV/atom

a = 4.0464 Å, b = 4.0464 Å, c = 3.8789 Å
α = 90.00°, β = 90.00°, γ = 90.00°
Last column: nearest neighbours and their distance in Å.
Element x y z (fractional)
1 Nb 0.0000 0.0000 0.0000  8 Ru 2.80, 4 Fe 2.86
2 Fe 0.5000 0.5000 0.0000  2 C 1.94
3 Ru 0.0000 0.5000 0.5000  2 C 2.02
4 Ru 0.5000 0.0000 0.5000  2 C 2.02
5 C 0.5000 0.5000 0.5000  2 Fe 1.94, 4 Ru 2.02

(5)
NbFe2RuC | PBE-GGA | relaxed

Values from the calculation:
E_form   -0.170 eV per formula unit
N(E_F)   0.400 states/eV per atom
Magnetic moment   0.98 μB/f.u.
V   11.84 Å³/atom
Total DFT energy (no corrections)   -9.13 eV/atom

a = 3.8441 Å, b = 3.8441 Å, c = 4.0078 Å
α = 90.00°, β = 90.00°, γ = 90.00°
Last column: nearest neighbours and their distance in Å.
Element x y z (fractional)
1 Nb 0.0000 0.0000 0.0000  4 Ru 2.72, 8 Fe 2.78
2 Fe 0.0000 0.5000 0.5000  2 C 1.92
3 Fe 0.5000 0.0000 0.5000  2 C 1.92
4 Ru 0.5000 0.5000 0.0000  2 C 2.00
5 C 0.5000 0.5000 0.5000  4 Fe 1.92, 2 Ru 2.00

(6)
NbFe2SnC | PBE-GGA | relaxed

Values from the calculation:
E_form   -0.101 eV per formula unit
N(E_F)   0.775 states/eV per atom
Magnetic moment   4.33 μB/f.u.
V   13.75 Å³/atom
Total DFT energy (no corrections)   -8.06 eV/atom

a = 3.9811 Å, b = 3.9811 Å, c = 4.3364 Å
α = 90.00°, β = 90.00°, γ = 90.00°
Last column: nearest neighbours and their distance in Å.
Element x y z (fractional)
1 Nb 0.0000 0.0000 0.0000  2 C 2.17
2 Fe 0.0000 0.5000 0.5000  2 C 1.99
3 Fe 0.5000 0.0000 0.5000  2 C 1.99
4 Sn 0.5000 0.5000 0.0000  4 Nb 2.82, 8 Fe 2.94
5 C 0.0000 0.0000 0.5000  4 Fe 1.99, 2 Nb 2.17

(7)
NbFeTc2C | PBE-GGA | relaxed

Values from the calculation:
E_form   -0.528 eV per formula unit
N(E_F)   0.721 states/eV per atom
Magnetic moment   0.20 μB/f.u.
V   12.82 Å³/atom
Total DFT energy (no corrections)   -9.80 eV/atom

a = 4.1032 Å, b = 4.1032 Å, c = 3.8084 Å
α = 90.00°, β = 90.00°, γ = 90.00°
Last column: nearest neighbours and their distance in Å.
Element x y z (fractional)
1 Nb 0.0000 0.0000 0.0000  8 Tc 2.80, 4 Fe 2.90
2 Fe 0.5000 0.5000 0.0000  2 C 1.90
3 Tc 0.0000 0.5000 0.5000  2 C 2.05
4 Tc 0.5000 0.0000 0.5000  2 C 2.05
5 C 0.5000 0.5000 0.5000  2 Fe 1.90, 4 Tc 2.05

(8)
NbFe2TcC | PBE-GGA | relaxed

Values from the calculation:
E_form   -0.421 eV per formula unit
N(E_F)   0.387 states/eV per atom
Magnetic moment   0.00 μB/f.u.
V   11.88 Å³/atom
Total DFT energy (no corrections)   -9.40 eV/atom

a = 3.8213 Å, b = 3.8213 Å, c = 4.0689 Å
α = 90.00°, β = 90.00°, γ = 90.00°
Last column: nearest neighbours and their distance in Å.
Element x y z (fractional)
1 Nb 0.0000 0.0000 0.0000  4 Tc 2.70, 8 Fe 2.79
2 Fe 0.0000 0.5000 0.5000  2 C 1.91
3 Fe 0.5000 0.0000 0.5000  2 C 1.91
4 Tc 0.5000 0.5000 0.0000  2 C 2.03
5 C 0.5000 0.5000 0.5000  4 Fe 1.91, 2 Tc 2.03

(9)
ThNb2FeC4 | PBE-GGA | relaxed

Values from the calculation:
E_form   -2.403 eV per formula unit
N(E_F)   0.327 states/eV per atom
Magnetic moment   0.00 μB/f.u.
V   12.47 Å³/atom
Total DFT energy (no corrections)   -9.42 eV/atom

a = 5.8234 Å, b = 5.8234 Å, c = 10.8400 Å
α = 90.00°, β = 90.00°, γ = 147.12°
Last column: nearest neighbours and their distance in Å.
Element x y z (fractional)
1 Th 0.0982 0.9018 0.7500  6 C 2.60-2.65
2 Th 0.9018 0.0982 0.2500  6 C 2.60-2.65
3 Nb 0.3698 0.6302 0.5448  4 C 2.11-2.29
4 Nb 0.3698 0.6302 0.9552  4 C 2.11-2.29
5 Nb 0.6302 0.3698 0.0448  4 C 2.11-2.29
6 Nb 0.6302 0.3698 0.4552  4 C 2.11-2.29
7 Fe 0.1656 0.8344 0.2500  4 C 1.82-1.90
8 Fe 0.8344 0.1656 0.7500  4 C 1.82-1.90
9 C 0.0000 0.0000 0.0000  4 Nb 2.25
10 C 0.0000 0.0000 0.5000  4 Nb 2.25
11 C 0.2666 0.7334 0.1183  1 Fe 1.82
12 C 0.2666 0.7334 0.3817  1 Fe 1.82
13 C 0.4184 0.5816 0.7500  2 Fe 1.90
14 C 0.5816 0.4184 0.2500  2 Fe 1.90
15 C 0.7334 0.2666 0.6183  1 Fe 1.82
16 C 0.7334 0.2666 0.8817  1 Fe 1.82

(10)
ThNbFeC3 | PBE-GGA | relaxed

Values from the calculation:
E_form   -0.568 eV per formula unit
N(E_F)   0.821 states/eV per atom
Magnetic moment   0.01 μB/f.u.
V   14.02 Å³/atom
Total DFT energy (no corrections)   -9.03 eV/atom

a = 7.1053 Å, b = 3.3188 Å, c = 7.3883 Å
α = 90.00°, β = 105.04°, γ = 90.00°
Last column: nearest neighbours and their distance in Å.
Element x y z (fractional)
1 Th 0.1906 0.2500 0.2090  5 C 2.50-2.72
2 Th 0.8094 0.7500 0.7910  5 C 2.50-2.72
3 Nb 0.3476 0.7500 0.8543  6 C 2.16-2.41
4 Nb 0.6524 0.2500 0.1457  6 C 2.16-2.41
5 Fe 0.0947 0.2500 0.6037  4 C 1.85-1.91
6 Fe 0.9053 0.7500 0.3963  4 C 1.85-1.91
7 C 0.1226 0.2500 0.8593  1 Fe 1.85
8 C 0.1744 0.7500 0.5275  3 Fe 1.89-1.91
9 C 0.4385 0.7500 0.1567  3 Nb 2.16-2.27
10 C 0.5615 0.2500 0.8433  3 Nb 2.16-2.27
11 C 0.8256 0.2500 0.4725  3 Fe 1.89-1.91
12 C 0.8774 0.7500 0.1407  1 Fe 1.85

(11)
Nd2Fe2C3 | PBE-GGA | relaxed

Values from the calculation:
E_form   -1.133 eV per formula unit
N(E_F)   0.455 states/eV per atom
Magnetic moment   0.00 μB/f.u.
V   13.46 Å³/atom
Total DFT energy (no corrections)   -7.90 eV/atom

a = 10.1156 Å, b = 3.4952 Å, c = 6.3877 Å
α = 90.00°, β = 123.46°, γ = 90.00°
Last column: nearest neighbours and their distance in Å.
Element x y z (fractional)
1 Nd 0.0669 0.0000 0.3307  3 C 2.53-2.76
2 Nd 0.4331 0.5000 0.6693  3 C 2.53-2.76
3 Nd 0.5669 0.5000 0.3307  3 C 2.53-2.76
4 Nd 0.9331 0.0000 0.6693  3 C 2.53-2.76
5 Fe 0.2015 0.5000 0.0816  4 C 1.80-1.97
6 Fe 0.2985 0.0000 0.9184  4 C 1.80-1.97
7 Fe 0.7015 0.0000 0.0816  4 C 1.80-1.97
8 Fe 0.7985 0.5000 0.9184  4 C 1.80-1.97
9 C 0.0000 0.5000 0.0000  2 Fe 1.80
10 C 0.2027 0.5000 0.7743  3 Fe 1.96-1.97
11 C 0.2973 0.0000 0.2257  3 Fe 1.96-1.97
12 C 0.5000 0.0000 0.0000  2 Fe 1.80
13 C 0.7027 0.0000 0.7743  3 Fe 1.96-1.97
14 C 0.7973 0.5000 0.2257  3 Fe 1.96-1.97

(12)
NdFeC | PBE-GGA | relaxed

Values from the calculation:
E_form   0.416 eV per formula unit
N(E_F)   0.940 states/eV per atom
Magnetic moment   1.81 μB/f.u.
V   16.93 Å³/atom
Total DFT energy (no corrections)   -7.35 eV/atom

a = 4.5752 Å, b = 12.1021 Å, c = 3.6698 Å
α = 90.00°, β = 90.00°, γ = 90.00°
Last column: nearest neighbours and their distance in Å.
Element x y z (fractional)
1 Nd 0.0000 0.1504 0.0000  4 C 2.68, 4 Fe 3.00
2 Nd 0.0000 0.8496 0.0000  4 C 2.68, 4 Fe 3.00
3 Nd 0.5000 0.3496 0.0000  4 C 2.68, 4 Fe 3.00
4 Nd 0.5000 0.6504 0.0000  4 C 2.68, 4 Fe 3.00
5 Fe 0.0000 0.4018 0.5000  2 C 1.98
6 Fe 0.0000 0.5982 0.5000  2 C 1.98
7 Fe 0.5000 0.0982 0.5000  2 C 1.98
8 Fe 0.5000 0.9018 0.5000  2 C 1.98
9 C 0.1543 0.0000 0.5000  1 C 1.41
10 C 0.3457 0.5000 0.5000  1 C 1.41
11 C 0.6543 0.5000 0.5000  1 C 1.41
12 C 0.8457 0.0000 0.5000  1 C 1.41

(13)
NdFe2C3 | PBE-GGA | relaxed

Values from the calculation:
E_form   -0.284 eV per formula unit
N(E_F)   0.678 states/eV per atom
Magnetic moment   0.63 μB/f.u.
V   12.17 Å³/atom
Total DFT energy (no corrections)   -8.27 eV/atom

a = 5.6598 Å, b = 5.6598 Å, c = 4.8288 Å
α = 90.00°, β = 90.00°, γ = 109.27°
Last column: nearest neighbours and their distance in Å.
Element x y z (fractional)
1 Nd 0.2140 0.7860 0.7500  6 C 2.72-2.84
2 Nd 0.7860 0.2140 0.2500  6 C 2.72-2.84
3 Fe 0.3102 0.3102 0.0000  4 C 1.89-1.92
4 Fe 0.3102 0.3102 0.5000  4 C 1.89-1.92
5 Fe 0.6898 0.6898 0.0000  4 C 1.89-1.92
6 Fe 0.6898 0.6898 0.5000  4 C 1.89-1.92
7 C 0.0352 0.1761 0.7500  1 C 1.38
8 C 0.1761 0.0352 0.2500  1 C 1.38
9 C 0.4191 0.5809 0.2500  4 Fe 1.89
10 C 0.5809 0.4191 0.7500  4 Fe 1.89
11 C 0.8239 0.9648 0.7500  1 C 1.38
12 C 0.9648 0.8239 0.2500  1 C 1.38

(14)
NdFe2C | PBE-GGA | relaxed

Values from the calculation:
E_form   1.111 eV per formula unit
N(E_F)   0.593 states/eV per atom
Magnetic moment   2.46 μB/f.u.
V   14.69 Å³/atom
Total DFT energy (no corrections)   -7.45 eV/atom

a = 3.6305 Å, b = 3.6305 Å, c = 15.4441 Å
α = 90.00°, β = 90.00°, γ = 120.00°
Last column: nearest neighbours and their distance in Å.
Element x y z (fractional)
1 Nd 0.0000 0.0000 0.0000  8 Fe 2.93-3.05
2 Nd 0.3333 0.6667 0.6667  8 Fe 2.93-3.05
3 Nd 0.6667 0.3333 0.3333  8 Fe 2.93-3.05
4 Fe 0.0000 0.0000 0.1899  3 C 2.13, 3 Fe 2.22
5 Fe 0.0000 0.0000 0.8101  3 C 2.13, 3 Fe 2.22
6 Fe 0.3333 0.6667 0.4768  3 C 2.13, 3 Fe 2.22
7 Fe 0.3333 0.6667 0.8566  3 C 2.13, 3 Fe 2.22
8 Fe 0.6667 0.3333 0.1434  3 C 2.13, 3 Fe 2.22
9 Fe 0.6667 0.3333 0.5232  3 C 2.13, 3 Fe 2.22
10 C 0.0000 0.0000 0.5000  6 Fe 2.13
11 C 0.3333 0.6667 0.1667  6 Fe 2.13
12 C 0.6667 0.3333 0.8333  6 Fe 2.13

(15)
Nd2FeC2 | PBE-GGA | relaxed

Values from the calculation:
E_form   -0.649 eV per formula unit
N(E_F)   0.568 states/eV per atom
Magnetic moment   0.75 μB/f.u.
V   17.20 Å³/atom
Total DFT energy (no corrections)   -7.42 eV/atom

a = 6.2060 Å, b = 6.2060 Å, c = 6.8872 Å
α = 119.42°, β = 119.42°, γ = 50.54°
Last column: nearest neighbours and their distance in Å.
Element x y z (fractional)
1 Nd 0.0451 0.0451 0.2907  4 C 2.48-2.68
2 Nd 0.3143 0.3143 0.8832  4 C 2.53-2.65
3 Nd 0.6857 0.6857 0.1168  4 C 2.53-2.65
4 Nd 0.9549 0.9549 0.7093  4 C 2.48-2.68
5 Fe 0.3721 0.3721 0.3683  3 C 1.85-1.88
6 Fe 0.6279 0.6279 0.6317  3 C 1.85-1.88
7 C 0.1867 0.1867 0.1124  1 Fe 1.86
8 C 0.4868 0.4868 0.6935  2 Fe 1.85-1.88
9 C 0.5132 0.5132 0.3065  2 Fe 1.85-1.88
10 C 0.8133 0.8133 0.8876  1 Fe 1.86

(16)
Nd2FeC | PBE-GGA | relaxed

Values from the calculation:
E_form   -0.376 eV per formula unit
N(E_F)   0.939 states/eV per atom
Magnetic moment   1.01 μB/f.u.
V   23.31 Å³/atom
Total DFT energy (no corrections)   -6.90 eV/atom

a = 3.6739 Å, b = 3.6938 Å, c = 13.7414 Å
α = 90.00°, β = 90.00°, γ = 90.00°
Last column: nearest neighbours and their distance in Å.
Element x y z (fractional)
1 Nd 0.0000 0.0000 0.1263  2 C 2.53
2 Nd 0.0000 0.0000 0.8737  2 C 2.53
3 Nd 0.5000 0.5000 0.3737  2 C 2.53
4 Nd 0.5000 0.5000 0.6263  2 C 2.53
5 Fe 0.0000 0.0000 0.5000  2 C 1.85
6 Fe 0.5000 0.5000 0.0000  2 C 1.85
7 C 0.0000 0.5000 0.5000  2 Fe 1.85
8 C 0.5000 0.0000 0.0000  2 Fe 1.85

(17)
Nd2Fe5C4 | PBE-GGA | relaxed

Values from the calculation:
E_form   -1.218 eV per formula unit
N(E_F)   0.315 states/eV per atom
Magnetic moment   0.00 μB/f.u.
V   11.20 Å³/atom
Total DFT energy (no corrections)   -8.18 eV/atom

a = 7.0078 Å, b = 5.7346 Å, c = 5.3755 Å
α = 78.14°, β = 53.21°, γ = 48.65°
Last column: nearest neighbours and their distance in Å.
Element x y z (fractional)
1 Nd 0.1477 0.1477 0.8523  6 C 2.78-2.97, 10 Fe 2.89-3.09, 1 Nd 3.04
2 Nd 0.8523 0.8523 0.1477  6 C 2.78-2.97, 10 Fe 2.89-3.09, 1 Nd 3.04
3 Fe 0.0000 0.0000 0.5000  4 C 2.01
4 Fe 0.2500 0.2500 0.2500  4 C 1.95
5 Fe 0.5000 0.5000 0.0000  4 C 2.01
6 Fe 0.5000 0.5000 0.5000  4 C 2.06
7 Fe 0.7500 0.7500 0.7500  4 C 1.95
8 C 0.2060 0.5351 0.4649  5 Fe 1.95-2.06
9 C 0.4649 0.7940 0.2060  5 Fe 1.95-2.06
10 C 0.5351 0.2060 0.7940  5 Fe 1.95-2.06
11 C 0.7940 0.4649 0.5351  5 Fe 1.95-2.06

(18)
Nd2Fe17C3 | PBE-GGA | relaxed

Values from the calculation:
E_form   -0.662 eV per formula unit
N(E_F)   0.805 states/eV per atom
Magnetic moment   35.30 μB/f.u.
V   12.55 Å³/atom
Total DFT energy (no corrections)   -8.26 eV/atom

a = 6.5471 Å, b = 6.5471 Å, c = 6.5471 Å
α = 83.91°, β = 83.91°, γ = 83.91°
Last column: nearest neighbours and their distance in Å.
Element x y z (fractional)
1 Nd 0.1538 0.1538 0.1538  3 C 2.53
2 Nd 0.8462 0.8462 0.8462  3 C 2.53
3 Fe 0.0000 0.5000 0.5000  10 Fe 2.45-2.68
4 Fe 0.1593 0.1593 0.6405  1 C 1.91
5 Fe 0.1593 0.6405 0.1593  1 C 1.91
6 Fe 0.2157 0.5000 0.7843  1 C 1.89
7 Fe 0.2157 0.7843 0.5000  1 C 1.89
8 Fe 0.3595 0.8407 0.8407  1 C 1.91
9 Fe 0.4052 0.4052 0.4052  1 Fe 2.37
10 Fe 0.5000 0.0000 0.5000  10 Fe 2.45-2.68
11 Fe 0.5000 0.2157 0.7843  1 C 1.89
12 Fe 0.5000 0.5000 0.0000  10 Fe 2.45-2.68
13 Fe 0.5000 0.7843 0.2157  1 C 1.89
14 Fe 0.5948 0.5948 0.5948  1 Fe 2.37
15 Fe 0.6405 0.1593 0.1593  1 C 1.91
16 Fe 0.7843 0.2157 0.5000  1 C 1.89
17 Fe 0.7843 0.5000 0.2157  1 C 1.89
18 Fe 0.8407 0.3595 0.8407  1 C 1.91
19 Fe 0.8407 0.8407 0.3595  1 C 1.91
20 C 0.0000 0.0000 0.5000  4 Fe 1.89-1.91
21 C 0.0000 0.5000 0.0000  4 Fe 1.89-1.91
22 C 0.5000 0.0000 0.0000  4 Fe 1.89-1.91

(19)
NdFeC | PBE-GGA | relaxed

Values from the calculation:
E_form   -0.498 eV per formula unit
N(E_F)   0.951 states/eV per atom
Magnetic moment   0.00 μB/f.u.
V   16.32 Å³/atom
Total DFT energy (no corrections)   -7.65 eV/atom

a = 3.4521 Å, b = 3.4521 Å, c = 8.2173 Å
α = 90.00°, β = 90.00°, γ = 90.00°
Last column: nearest neighbours and their distance in Å.
Element x y z (fractional)
1 Nd 0.2500 0.2500 0.2065  4 C 2.85, 4 Fe 2.97
2 Nd 0.7500 0.7500 0.7935  4 C 2.85, 4 Fe 2.97
3 Fe 0.2500 0.7500 0.5000  4 C 1.97
4 Fe 0.7500 0.2500 0.5000  4 C 1.97
5 C 0.2500 0.2500 0.6146  4 Fe 1.97
6 C 0.7500 0.7500 0.3854  4 Fe 1.97

(20)
NdFeC | PBE-GGA | relaxed

Values from the calculation:
E_form   0.344 eV per formula unit
N(E_F)   0.886 states/eV per atom
Magnetic moment   0.37 μB/f.u.
V   14.65 Å³/atom
Total DFT energy (no corrections)   -7.37 eV/atom

a = 3.3803 Å, b = 3.3803 Å, c = 4.4424 Å
α = 90.00°, β = 90.00°, γ = 120.00°
Last column: nearest neighbours and their distance in Å.
Element x y z (fractional)
1 Nd 0.0000 0.0000 0.0000  6 Fe 2.96, 6 C 2.96
2 Fe 0.6667 0.3333 0.5000  3 C 1.95
3 C 0.3333 0.6667 0.5000  3 Fe 1.95